The following is a GGA-PBE calculation of a geometry-optimized Ac3Zn structure, from Alexandria via LeMat-Bulk.

abc: 5.280 5.280 5.280
angles: 90.00 90.00 90.00
Sites, in units of the cell vectors:
Ac (0.000, 0.000, 0.500)
Ac (0.000, 0.500, 0.000)
Ac (0.500, 0.000, 0.000)
Zn (0.500, 0.500, 0.500)

Total magnetic moment (μB per cell): 0.0
Formation energy from the elements (kJ/mol of atoms): 6.7
Uncorrected energy (eV/atom): -3.331
Energy relative to the lowest polymorph listed for this composition (meV/atom): 182